Record 1
Crystalline Dy2Tm5Pb4 at its relaxed geometry. Source: Alexandria, functional GGA-PBE.

Results
Symmetry: C2/m
Calculated formation energy: -0.03 eV per atom

Unit cell a=11.8543 b=11.8543 c=8.2441 alpha=91.29 beta=91.29 gamma=16.82
Atoms (fractional coordinates):
Dy (0.2306, 0.2306, 0.3275)
Dy (0.7694, 0.7694, 0.6725)
Tm (0.0000, 0.0000, 0.5000)
Tm (0.3191, 0.3191, 0.0104)
Tm (0.3708, 0.3708, 0.4377)
Tm (0.6292, 0.6292, 0.5623)
Tm (0.6809, 0.6809, 0.9896)
Pb (0.0942, 0.0942, 0.2281)
Pb (0.4574, 0.4574, 0.1513)
Pb (0.5426, 0.5426, 0.8487)
Pb (0.9058, 0.9058, 0.7719)

=====

Record 2
Crystalline Dy4TmPb2 at its relaxed geometry. Source: Alexandria, functional GGA-PBE.

Results
Symmetry: I4/mmm
Calculated formation energy: 0.44 eV per atom

Unit cell a=9.1196 b=9.1196 c=9.1196 alpha=145.89 beta=145.89 gamma=49.02
Atoms (fractional coordinates):
Dy (0.0000, 0.5000, 0.5000)
Dy (0.1828, 0.1828, 0.0000)
Dy (0.5000, 0.0000, 0.5000)
Dy (0.8172, 0.8172, 0.0000)
Tm (0.0000, 0.0000, 0.0000)
Pb (0.3691, 0.3691, 0.0000)
Pb (0.6309, 0.6309, 0.0000)

=====

Record 3
Crystalline Dy4YPb5 at its relaxed geometry. Source: Alexandria, functional GGA-PBE.

Results
Symmetry: I4
Calculated formation energy: -0.34 eV per atom

Unit cell a=7.7093 b=7.7093 c=7.7093 alpha=99.59 beta=99.59 gamma=131.82
Atoms (fractional coordinates):
Dy (0.1005, 0.7005, 0.8010)
Dy (0.2995, 0.1005, 0.4001)
Dy (0.7005, 0.8995, 0.5999)
Dy (0.8995, 0.2995, 0.1990)
Y (0.4980, 0.4980, 0.0000)
Pb (0.1990, 0.4000, 0.5988)
Pb (0.4000, 0.8012, 0.2011)
Pb (0.6001, 0.1990, 0.7989)
Pb (0.8012, 0.6001, 0.4012)
Pb (0.9978, 0.9978, 0.0000)

=====

Record 4
Crystalline Dy2Y3Pb4 at its relaxed geometry. Source: Alexandria, functional GGA-PBE.

Results
Symmetry: C2/m
Calculated formation energy: -0.45 eV per atom

Unit cell a=8.5853 b=8.5853 c=6.7979 alpha=104.44 beta=104.44 gamma=33.58
Atoms (fractional coordinates):
Dy (0.1693, 0.1693, 0.0704)
Dy (0.8307, 0.8307, 0.9296)
Y (0.3863, 0.3863, 0.4150)
Y (0.5000, 0.5000, 0.0000)
Y (0.6137, 0.6137, 0.5850)
Pb (0.0088, 0.0088, 0.2822)
Pb (0.2517, 0.2517, 0.6904)
Pb (0.7483, 0.7483, 0.3096)
Pb (0.9912, 0.9912, 0.7178)

=====

Record 5
Crystalline Dy2YPb9 at its relaxed geometry. Source: Alexandria, functional GGA-PBE.

Results
Symmetry: P4/mmm
Calculated formation energy: -0.28 eV per atom

Unit cell a=4.8807 b=4.8807 c=14.6447 alpha=90.00 beta=90.00 gamma=90.00
Atoms (fractional coordinates):
Dy (0.0000, 0.0000, 0.1660)
Dy (0.0000, 0.0000, 0.8340)
Y (0.0000, 0.0000, 0.5000)
Pb (0.0000, 0.5000, 0.0000)
Pb (0.0000, 0.5000, 0.3328)
Pb (0.0000, 0.5000, 0.6672)
Pb (0.5000, 0.0000, 0.0000)
Pb (0.5000, 0.0000, 0.3328)
Pb (0.5000, 0.0000, 0.6672)
Pb (0.5000, 0.5000, 0.1663)
Pb (0.5000, 0.5000, 0.5000)
Pb (0.5000, 0.5000, 0.8337)

=====

Record 6
Crystalline Dy3YPb2 at its relaxed geometry. Source: Alexandria, functional GGA-PBE.

Results
Symmetry: C2/m
Calculated formation energy: -0.33 eV per atom
Relative energy among the computed polymorphs: 93.6 meV/atom

Unit cell a=9.3617 b=9.3617 c=9.6586 alpha=112.88 beta=112.88 gamma=28.18
Atoms (fractional coordinates):
Dy (0.0568, 0.0568, 0.1868)
Dy (0.3086, 0.3086, 0.6078)
Dy (0.3536, 0.3536, 0.0136)
Dy (0.6464, 0.6464, 0.9864)
Dy (0.6914, 0.6914, 0.3922)
Dy (0.9432, 0.9432, 0.8132)
Y (0.1135, 0.1135, 0.6200)
Y (0.8865, 0.8865, 0.3800)
Pb (0.2483, 0.2483, 0.2177)
Pb (0.4953, 0.4953, 0.6553)
Pb (0.5047, 0.5047, 0.3447)
Pb (0.7517, 0.7517, 0.7823)

=====

Record 7
Crystalline DyY2Pb9 at its relaxed geometry. Source: Alexandria, functional GGA-PBE.

Results
Symmetry: P4/mmm
Calculated formation energy: -0.29 eV per atom

Unit cell a=4.8829 b=4.8829 c=14.6549 alpha=90.00 beta=90.00 gamma=90.00
Atoms (fractional coordinates):
Dy (0.0000, 0.0000, 0.0000)
Y (0.0000, 0.0000, 0.3327)
Y (0.0000, 0.0000, 0.6673)
Pb (0.0000, 0.5000, 0.1661)
Pb (0.0000, 0.5000, 0.5000)
Pb (0.0000, 0.5000, 0.8339)
Pb (0.5000, 0.0000, 0.1661)
Pb (0.5000, 0.0000, 0.5000)
Pb (0.5000, 0.0000, 0.8339)
Pb (0.5000, 0.5000, 0.0000)
Pb (0.5000, 0.5000, 0.3330)
Pb (0.5000, 0.5000, 0.6670)

=====

Record 8
Crystalline DyYPb at its relaxed geometry. Source: Alexandria, functional GGA-PBE.

Results
Symmetry: P3m1
Calculated formation energy: -0.21 eV per atom

Unit cell a=5.2971 b=5.2971 c=3.7409 alpha=90.00 beta=90.00 gamma=120.00
Atoms (fractional coordinates):
Dy (0.0000, 0.0000, 0.0000)
Y (0.3333, 0.6667, 0.5345)
Pb (0.6667, 0.3333, 0.2613)